DFT (PBE) results for a relaxed structure of LiCdHg2.

a b c (Å): 5.290 5.290 5.381
angles (deg): 80.02 80.02 36.25
Element x y z (fractional)
Hg 0.997 0.997 0.018
Li 0.499 0.499 0.518
Cd 0.243 0.243 0.246
Hg 0.762 0.762 0.717

Raw total energy: -1.0177 eV/atom
Spin magnetization: 0.0 μB/f.u.